No. 1
Hg3Br, relaxed, DFT PBE; VASP energy = -6.01 eV per cell; space-group type = Cmcm; DOS at the Fermi energy = 1.01 states/eV/f.u.; magnetization = 0.000 μB per cell; formation energy from raw total energies = -0.4 eV/f.u.
1.0
9.667 -0.038 0.000
-7.128 6.529 0.000
0.000 0.000 4.103
Br Hg
2 6
Direct
0.413 0.587 0.250
0.587 0.413 0.750
0.934 0.066 0.750
0.066 0.934 0.250
0.983 0.595 0.750
0.017 0.405 0.250
0.405 0.017 0.750
0.595 0.983 0.250

No. 2
Hg2Br, relaxed, DFT PBE; VASP energy = -11.41 eV per cell; space-group type = Pnma; DOS at the Fermi energy = 0.55 states/eV/f.u.; magnetization = 0.000 μB per cell; formation energy from raw total energies = -0.6 eV/f.u.
1.0
6.865 0.000 0.000
0.000 8.511 0.000
0.000 0.000 7.231
Hg Br
8 4
Direct
0.250 0.008 0.749
0.750 0.492 0.249
0.250 0.508 0.751
0.750 0.992 0.251
0.250 0.259 0.498
0.750 0.241 0.998
0.250 0.759 0.002
0.750 0.741 0.502
0.250 0.760 0.374
0.750 0.740 0.874
0.250 0.260 0.126
0.750 0.240 0.626

No. 3
Hg5Br4, relaxed, DFT PBE; VASP energy = -18.41 eV per cell; space-group type = P6_3/mcm; DOS at the Fermi energy = 4.96 states/eV/f.u.; magnetization = 0.000 μB per cell; formation energy from raw total energies = -1.0 eV/f.u.
1.0
-0.652 2.146 7.576
6.637 -3.426 -2.579
4.384 10.434 -2.578
Hg Br
10 8
Direct
0.000 0.787 0.250
0.213 0.213 0.250
0.787 0.000 0.250
0.000 0.213 0.750
0.787 0.787 0.750
0.213 0.000 0.750
0.667 0.333 0.000
0.333 0.667 0.500
0.333 0.667 0.000
0.667 0.333 0.500
0.000 0.000 0.000
0.000 0.000 0.500
0.000 0.454 0.250
0.546 0.546 0.250
0.454 0.000 0.250
0.000 0.546 0.750
0.454 0.454 0.750
0.546 0.000 0.750

No. 4
HgBr, relaxed, DFT PBE; VASP energy = -4.95 eV per cell; space-group type = Immm; DOS at the Fermi energy = 0.37 states/eV/f.u.; magnetization = 0.000 μB per cell; formation energy from raw total energies = -0.5 eV/f.u.
1.0
5.509 0.000 0.000
0.000 5.003 0.000
0.000 0.000 5.441
Hg Br
2 2
Direct
0.500 0.000 0.500
0.000 0.500 0.000
0.000 0.500 0.500
0.500 0.000 0.000

No. 5
Hg3Br, relaxed, DFT PBE; VASP energy = -2.98 eV per cell; space-group type = Cmmm; DOS at the Fermi energy = 1.43 states/eV/f.u.; magnetization = 0.000 μB per cell; formation energy from raw total energies = -0.4 eV/f.u.
1.0
4.870 0.681 0.000
-2.257 4.369 0.000
0.000 0.000 5.657
Hg Br
3 1
Direct
0.000 0.500 0.500
0.500 0.000 0.500
0.500 0.500 0.000
0.000 0.000 0.000

No. 6
Hg2Br, relaxed, DFT PBE; VASP energy = -11.09 eV per cell; space-group type = I4_1md; DOS at the Fermi energy = 0.88 states/eV/f.u.; magnetization = 0.000 μB per cell; formation energy from raw total energies = -0.5 eV/f.u.
1.0
5.775 0.000 0.000
0.000 5.775 0.000
0.000 0.000 11.477
Hg Br
8 4
Direct
0.000 0.000 0.624
0.000 0.500 0.874
0.500 0.500 0.124
0.500 0.000 0.374
0.000 0.000 0.908
0.000 0.500 0.158
0.500 0.500 0.408
0.500 0.000 0.658
0.000 0.000 0.187
0.000 0.500 0.437
0.500 0.500 0.687
0.500 0.000 0.937

No. 7
Hg5Br2, relaxed, DFT PBE; VASP energy = -12.45 eV per cell; space-group type = C2/c; DOS at the Fermi energy = 0.01 states/eV/f.u.; magnetization = 0.000 μB per cell; formation energy from raw total energies = -1.4 eV/f.u.
1.0
-2.032 4.747 -4.480
-8.145 -3.914 -0.454
0.178 3.068 8.387
Hg Br
10 4
Direct
0.895 0.490 0.268
0.628 0.010 0.732
0.492 0.262 0.504
0.988 0.238 0.496
0.508 0.738 0.496
0.012 0.762 0.504
0.372 0.990 0.268
0.105 0.510 0.732
0.237 0.750 0.000
0.763 0.250 0.000
0.614 0.522 0.757
0.857 0.978 0.243
0.386 0.478 0.243
0.143 0.022 0.757

No. 8
HgBr5, relaxed, DFT PBE; VASP energy = -6.91 eV per cell; space-group type = P-62m; DOS at the Fermi energy = 5.82 states/eV/f.u.; magnetization = 0.362 μB per cell; formation energy from raw total energies = 1.8 eV/f.u.
1.0
3.049 3.567 -2.547
-4.134 1.645 2.951
4.845 0.504 6.505
Hg Br
1 5
Direct
0.000 0.000 0.500
0.685 0.000 0.000
0.315 0.315 0.000
0.000 0.685 0.000
0.667 0.333 0.500
0.333 0.667 0.500

No. 9
HgBr3, relaxed, DFT PBE; VASP energy = -3.79 eV per cell; space-group type = Pm-3m; DOS at the Fermi energy = 4.84 states/eV/f.u.; magnetization = 1.774 μB per cell; formation energy from raw total energies = 1.5 eV/f.u.
1.0
-2.759 3.242 2.269
-3.954 -2.379 -1.408
0.173 -2.665 4.018
Hg Br
1 3
Direct
0.000 0.000 0.000
0.000 0.500 0.500
0.500 0.000 0.500
0.500 0.500 0.000

No. 10
HgBr, relaxed, DFT PBE; VASP energy = -4.66 eV per cell; space-group type = P-3m1; DOS at the Fermi energy = 0.16 states/eV/f.u.; magnetization = 0.000 μB per cell; formation energy from raw total energies = -0.4 eV/f.u.
1.0
-2.958 -2.713 -0.302
3.834 -1.213 0.156
-0.494 -0.434 8.733
Hg Br
2 2
Direct
0.000 0.000 0.507
0.667 0.333 0.743
0.000 0.000 0.941
0.667 0.333 0.309

No. 11
HgBr, relaxed, DFT PBE; VASP energy = -4.92 eV per cell; space-group type = P6_3/mmc; DOS at the Fermi energy = 0.84 states/eV/f.u.; magnetization = 0.000 μB per cell; formation energy from raw total energies = -0.5 eV/f.u.
1.0
-3.380 -0.775 5.245
-2.150 -2.209 -5.480
2.514 -4.730 0.921
Hg Br
2 2
Direct
0.333 0.667 0.750
0.667 0.333 0.250
0.333 0.667 0.250
0.667 0.333 0.750

No. 12
HgBr, relaxed, DFT PBE; VASP energy = -14.45 eV per cell; space-group type = Amm2; DOS at the Fermi energy = 0.66 states/eV/f.u.; magnetization = 0.000 μB per cell; formation energy from raw total energies = -0.4 eV/f.u.
1.0
4.268 0.000 0.000
0.000 12.097 0.000
0.000 0.000 7.407
Hg Br
6 6
Direct
0.000 0.347 0.901
0.000 0.653 0.901
0.000 0.847 0.401
0.000 0.153 0.401
0.000 0.000 0.687
0.000 0.500 0.187
0.500 0.769 0.738
0.500 0.231 0.738
0.500 0.269 0.238
0.500 0.731 0.238
0.000 0.000 0.039
0.000 0.500 0.539

Q: Look up the magnetization of the fifth one.
A: 0.000 μB per cell

Q: Number 5 is which compound?
A: Hg3Br

Q: Which formula does entry 5 have?
A: Hg3Br